Entry from the Alexandria database: a geometry-optimized Ta2InRh structure (PBE).

Cell and atoms, written as extended XYZ:
```
4
Lattice="-1.132 -3.749 -8.267 -1.192 -6.304 -6.521 -3.772 -4.641 -6.922" Properties=species:S:1:pos:R:3 pbc="T T T"
Rh -4.534 -10.930 -16.149
Ta -1.554 -3.745 -5.534
In -3.021 -7.283 -10.760
Ta -0.034 -0.082 -0.122
```

Summary:
Final energy: -8.459 eV/atom
ΔE_f: -0.010 eV/atom
Size of the total moment: 0.000 μB per atom
SG: R3m (160)